Material: La2VF
Method: DFT, PBE+U
State: optimized geometry Values from VASP.

Cell and atoms, written as Quantum ESPRESSO input:
```
&SYSTEM
  ibrav = 0, nat = 4, ntyp = 3
/
ATOMIC_SPECIES
V 50.94 V.upf
La 138.91 La.upf
F 19.00 F.upf
CELL_PARAMETERS angstrom
0.000 3.689 3.689
3.689 0.000 3.689
3.689 3.689 0.000
ATOMIC_POSITIONS crystal
V 0.500 0.500 0.500
La 0.250 0.250 0.250
La 0.750 0.750 0.750
F 0.000 0.000 0.000
```

ΔE to the lowest computed polymorph = 385 meV/atom
symmetry = Fm-3m (225)
DOS(E_F) = 3.9 states/eV per cell
VASP energy = -5.059 eV per atom